Computed, not measured: a relaxed structure of YCuP2 at the PBE level of DFT.

```
YCuP2
1.0
-0.318 3.676 -1.227
-4.705 -0.314 0.280
0.564 5.122 15.198
Y P Cu
4 8 4
direct
0.748 0.259 0.838
0.248 0.241 0.162
0.752 0.741 0.338
0.252 0.759 0.662
0.248 0.036 0.947
0.748 0.464 0.053
0.252 0.964 0.447
0.752 0.536 0.553
0.246 0.732 0.833
0.746 0.768 0.167
0.254 0.268 0.333
0.754 0.232 0.667
0.249 0.543 0.974
0.749 0.957 0.026
0.251 0.457 0.474
0.751 0.043 0.526
```

Energy relative to the elements in eV per atom: -0.6537
Space group: P2_12_12_1 (19)
E_tot in eV/atom: -5.999
Calculated density in kg/m3: 4830